[1]
PBE KCd7In5, relaxed; M_tot = 0.000 Bohr magnetons per cell; DFT formation energy = 0.00 eV per atom; space-group type = No. 44
1.0
-3.131 5.132 5.421
3.131 -5.132 5.421
3.131 5.132 -5.421
K Cd In
1 7 5
Direct
0.000 0.000 0.000
0.172 0.672 0.500
0.238 0.504 0.734
0.365 0.009 0.357
0.366 0.366 0.000
0.651 0.651 0.000
0.652 0.009 0.643
0.770 0.504 0.266
0.015 0.004 0.506
0.015 0.509 0.012
0.497 0.004 0.988
0.497 0.509 0.494
0.805 0.305 0.500

[2]
PBE InRuCl2, relaxed; M_tot = 1.987 Bohr magnetons per cell; space-group type = No. 44; formation energy (no corrections) = -0.01 eV per atom
1.0
3.249 0.000 0.000
0.000 7.096 0.000
0.000 0.000 9.233
In Ru Cl
2 2 4
Direct
0.000 0.000 0.000
0.500 0.500 0.500
0.000 0.500 0.734
0.500 0.000 0.234
0.000 0.000 0.412
0.000 0.500 0.279
0.500 0.000 0.779
0.500 0.500 0.912

[3]
PBE LiReSb2, relaxed; M_tot = 0.000 Bohr magnetons per cell; space-group type = No. 25; formation energy (no corrections) = 0.29 eV per atom
1.0
3.336 0.000 0.000
0.000 4.194 0.000
0.000 0.000 5.486
Li Re Sb
1 1 2
Direct
0.000 0.000 0.000
0.500 0.500 0.317
0.000 0.000 0.472
0.500 0.500 0.830

[4]
PBE Nd2CrWN5, relaxed; M_tot = 0.001 Bohr magnetons per cell; space-group type = No. 36; formation energy (no corrections) = -0.87 eV per atom
1.0
1.640 -7.047 0.000
1.640 7.047 0.000
0.000 0.000 10.059
Nd Cr W N
4 2 2 10
Direct
0.120 0.880 0.500
0.133 0.867 0.124
0.867 0.133 0.624
0.880 0.120 0.000
0.448 0.552 0.262
0.552 0.448 0.762
0.205 0.795 0.827
0.795 0.205 0.327
0.045 0.955 0.843
0.297 0.703 0.463
0.319 0.681 0.188
0.340 0.660 0.814
0.498 0.502 0.105
0.502 0.498 0.605
0.660 0.340 0.314
0.681 0.319 0.688
0.703 0.297 0.963
0.955 0.045 0.343

[5]
PBE Al2SiSN, relaxed; M_tot = 0.000 Bohr magnetons per cell; space-group type = No. 123; formation energy (no corrections) = 0.74 eV per atom
1.0
4.784 0.000 0.000
0.000 4.784 0.000
0.000 0.000 3.338
Al Si S N
2 1 1 1
Direct
0.000 0.500 0.000
0.500 0.000 0.000
0.000 0.000 0.500
0.500 0.500 0.000
0.500 0.500 0.500

[6]
PBE YGe3W, relaxed; M_tot = 0.000 Bohr magnetons per cell; DFT formation energy = 1.91 eV per atom; space-group type = No. 221
1.0
5.126 0.000 0.000
0.000 5.126 0.000
0.000 0.000 5.126
Y Ge W
1 3 1
Direct
0.000 0.000 0.000
0.000 0.000 0.500
0.000 0.500 0.000
0.500 0.000 0.000
0.500 0.500 0.500

| no. | total energy (eV per atom) |
| --- | --- |
| 1 | -1.626 |
| 2 | -3.942 |
| 3 | -5.363 |
| 4 | -9.065 |
| 5 | -4.327 |
| 6 | -4.746 |